Material: Dy2Ho4In
Method: DFT, PBE
State: optimized geometry

Volume: 1729.70 Å³/cell
Formation energy from the elements: -3.68 kJ/mol of atoms
Size of the total moment: 0.00 μB per formula unit
Energy above the lowest structure with this stoichiometry: 0.0404 eV per atom

Cell lengths 10.161, 21.727, 7.835 Å; angles 90.00, 90.00, 90.00 degrees
Space group Fdd2 (No. 43)
One atom of each set of equivalent atoms:
Dy 0.035 0.262 0.000 x16
Ho 0.010 0.081 0.424 x16
Ho 0.038 0.384 0.345 x16
In 0.000 0.000 0.079 x8